# 1
Tb3NdDy2Ho6 | Alexandria via LeMat-Bulk | PBE-GGA | relaxed; ρ = 8.5 Mg/m³; DOS(E_F) = 15.23 states/eV/cell; energy of formation from the pure elements = 0.02 eV per atom
1.0
6.1435 0.0018 0.0123
-3.0687 5.3222 0.0123
-1.0419 -1.8041 11.5621
Tb Ho Dy Nd
3 6 2 1
Direct
0.8331 0.1669 0.5000 Tb
0.5000 0.5000 0.5000 Tb
0.1669 0.8331 0.5000 Tb
0.0843 0.4182 0.2509 Ho
0.4182 0.0843 0.2509 Ho
0.5818 0.9157 0.7491 Ho
0.7502 0.7502 0.2508 Ho
0.9157 0.5818 0.7491 Ho
0.2498 0.2498 0.7492 Ho
0.6667 0.3333 0.0000 Dy
0.3333 0.6667 0.0000 Dy
0.0000 0.0000 0.0000 Nd

=====

# 2
Tb2NdDy4Ho2 | Alexandria via LeMat-Bulk | PBE-GGA | relaxed; ρ = 8.3 Mg/m³; DOS(E_F) = 11.88 states/eV/cell; energy of formation from the pure elements = 0.00 eV per atom
1.0
3.5899 0.0000 0.0000
-1.7949 9.2949 -0.5290
0.0000 -3.6388 8.8135
Nd Tb Ho Dy
1 2 2 4
Direct
0.0000 0.0000 0.0000 Nd
0.8520 0.7040 0.3332 Tb
0.1480 0.2960 0.6668 Tb
0.3321 0.6642 0.9988 Ho
0.6679 0.3358 0.0012 Ho
0.5190 0.0379 0.3353 Dy
0.4810 0.9621 0.6647 Dy
0.8142 0.6284 0.6650 Dy
0.1858 0.3716 0.3350 Dy

=====

# 3
Tb2Nd3Dy6Ho | Alexandria via LeMat-Bulk | PBE-GGA | relaxed; ρ = 8.1 Mg/m³; DOS(E_F) = 15.30 states/eV/cell; energy of formation from the pure elements = 0.02 eV per atom
1.0
6.2011 0.0001 0.0050
-3.0989 5.3712 0.0050
-1.0397 -1.8003 11.6487
Dy Nd Ho Tb
6 3 1 2
Direct
0.2507 0.2507 0.7534 Dy
0.7493 0.7493 0.2466 Dy
0.4155 0.0823 0.2465 Dy
0.0823 0.4155 0.2465 Dy
0.9177 0.5845 0.7535 Dy
0.5845 0.9177 0.7535 Dy
0.1667 0.8333 0.5000 Nd
0.5000 0.5000 0.5000 Nd
0.8333 0.1667 0.5000 Nd
0.0000 0.0000 0.0000 Ho
0.6666 0.3334 0.0000 Tb
0.3334 0.6666 0.0000 Tb

=====

# 4
TbNd6DyHo2 | Alexandria via LeMat-Bulk | PBE-GGA | relaxed; ρ = 7.4 Mg/m³; DOS(E_F) = 28.93 states/eV/cell; energy of formation from the pure elements = 0.12 eV per atom
1.0
-8.3246 -4.8378 -0.9078
4.7298 -6.0612 -4.5903
0.0629 -0.5690 8.9360
Nd Tb Ho Dy
12 2 4 2
Direct
0.4457 0.2390 0.8844 Nd
0.8815 0.2929 0.5101 Nd
0.1869 0.5641 0.0101 Nd
0.8131 0.4359 0.9899 Nd
0.1185 0.7071 0.4899 Nd
0.9457 0.8844 0.2390 Nd
0.3815 0.5101 0.2929 Nd
0.5543 0.7610 0.1156 Nd
0.6185 0.4899 0.7071 Nd
0.0543 0.1156 0.7610 Nd
0.6869 0.0101 0.5641 Nd
0.3131 0.9899 0.4359 Nd
0.7500 0.0279 0.9721 Tb
0.2500 0.9721 0.0279 Tb
0.5462 0.1999 0.2973 Ho
0.0462 0.2973 0.1999 Ho
0.9538 0.7027 0.8001 Ho
0.4538 0.8001 0.7027 Ho
0.2500 0.4106 0.5894 Dy
0.7500 0.5894 0.4106 Dy